This record from Alexandria via LeMat-Bulk describes a relaxed structure of PmFeSb. The functional is PBE.

Cell lengths 6.0502, 6.0502, 6.0502 Å; angles 146.96, 146.96, 47.43 degrees
Atoms (fractional coordinates):
Pm1 0.0000 0.0000 0.0000
Fe1 0.3191 0.3191 0.0000
Sb1 0.7125 0.7125 0.0000

Symmetry   No. 107
ΔE_f (raw)   -0.134 eV per atom

This record from Alexandria via LeMat-Bulk describes a relaxed structure of PmFeSb2. The functional is PBE.

Cell lengths 10.5331, 10.5331, 10.5331 Å; angles 18.69, 18.69, 18.69 degrees
Atoms (fractional coordinates):
Pm1 0.0000 0.0000 0.0000
Fe1 0.5000 0.5000 0.5000
Sb1 0.4180 0.4180 0.4180
Sb2 0.5820 0.5820 0.5820

Symmetry   No. 166
ΔE_f (raw)   0.221 eV per atom

Excess energy over the best structure of this formula in the dataset (computed, meV per atom): 146 391
E (computed, eV per atom): -5.912 -5.144